Arrangement a

BeNi2O after structural relaxation. Source: the Alexandria database, functional PBE with a Hubbard U.

The value obtained for the calculated density is 5.66 g/cm3.

The space group is I-42d (No. 122) and the conventional cell measures 3.352, 3.352 and 14.873 Å, with angles of 90.00, 90.00 and 90.00 degrees. The inequivalent atoms are Be at (0.000, 0.000, 0.000), Ni at (0.235, 0.250, 0.625) and O at (0.000, 0.000, 0.500).



Arrangement b

BeNi2O after structural relaxation. Source: the Alexandria database, functional PBE with a Hubbard U.

The value obtained for the calculated density is 6.34 g/cm3.

The space group is Fm-3m (No. 225) and the conventional cell measures 5.302, 5.302 and 5.302 Å, with angles of 90.00, 90.00 and 90.00 degrees. The inequivalent atoms are Be at (0.000, 0.000, 0.000), Ni at (0.250, 0.250, 0.250) and O at (0.000, 0.000, 0.500).



Each structure's energy above the most stable one, in meV/atom: arrangement a 0; arrangement b 362.



Arrangement a

RbBeNiO2 after structural relaxation. Source: the Alexandria database, functional PBE with a Hubbard U.

The value obtained for the calculated density is 3.15 g/cm3.

The space group is P4/mmm (No. 123) and the conventional cell measures 4.447, 4.447 and 4.943 Å, with angles of 90.00, 90.00 and 90.00 degrees. The inequivalent atoms are Rb at (0.000, 0.000, 0.000), Be at (0.000, 0.000, 0.500), Ni at (0.500, 0.500, 0.500) and O at (0.000, 0.500, 0.000).



Arrangement b

RbBeNiO2 after structural relaxation. Source: the Alexandria database, functional PBE with a Hubbard U.

The value obtained for the calculated density is 4.13 g/cm3.

The space group is P2/c (No. 13) and the conventional cell measures 6.237, 3.748 and 6.466 Å, with angles of 90.00, 99.78 and 90.00 degrees. The inequivalent atoms are Rb at (0.000, 0.236, 0.250), Be at (0.500, 0.000, 0.000), Ni at (0.500, 0.489, 0.750) and O at (0.320, 0.265, 0.972).



Each structure's energy above the most stable one, in meV/atom: arrangement a 3178; arrangement b 0.